# 1
PBE CaRu2Cl, optimized geometry; ΔE to the lowest computed polymorph = 0.3150 eV/atom; energy relative to the elements, uncorrected = 0.053 eV/atom; SG = C2/m
1.0
6.1471 -1.7989 0.0000
6.1471 1.7989 0.0000
-0.5429 0.0000 3.5887
Ca Ru Cl
1 2 1
Cartesian
0.0000 0.0000 0.0000 Ca
2.7413 0.0000 2.7370 Ru
9.0100 0.0000 0.8517 Ru
5.8757 0.0000 1.7943 Cl

---

# 2
PBE CaRuCl2, optimized geometry; ΔE to the lowest computed polymorph = 0.3040 eV/atom; energy relative to the elements, uncorrected = -0.444 eV/atom; SG = Fm-3m
1.0
0.0000 3.3707 3.3707
3.3707 0.0000 3.3707
3.3707 3.3707 0.0000
Ca Ru Cl
1 1 2
Cartesian
0.0000 0.0000 0.0000 Ca
3.3707 3.3707 3.3707 Ru
1.6854 1.6854 1.6854 Cl
5.0561 5.0561 5.0561 Cl

---

# 3
PBE CaRuCl2, optimized geometry; ΔE to the lowest computed polymorph = 0.0798 eV/atom; energy relative to the elements, uncorrected = -0.668 eV/atom; SG = R3m
1.0
1.7980 1.0381 8.7712
-1.7980 1.0381 8.7712
0.0000 -2.0761 8.7712
Ca Ru Cl
1 1 2
Cartesian
0.0000 0.0000 0.0000 Ca
0.0000 0.0000 20.0063 Ru
0.0000 0.0000 7.0798 Cl
0.0000 0.0000 12.3113 Cl

---

# 4
PBE CaRu2Cl, optimized geometry; ΔE to the lowest computed polymorph = 1.2455 eV/atom; energy relative to the elements, uncorrected = 0.983 eV/atom; SG = Fm-3m
1.0
0.0000 3.2347 3.2347
3.2347 0.0000 3.2347
3.2347 3.2347 0.0000
Ca Ru Cl
1 2 1
Cartesian
0.0000 0.0000 0.0000 Ca
1.6174 1.6174 1.6174 Ru
4.8521 4.8521 4.8521 Ru
3.2347 3.2347 3.2347 Cl

---

# 5
PBE CaRuCl2, optimized geometry; ΔE to the lowest computed polymorph = 0.3615 eV/atom; energy relative to the elements, uncorrected = -0.386 eV/atom; SG = P4/mmm
1.0
3.2430 0.0000 0.0000
0.0000 3.2430 0.0000
0.0000 0.0000 11.0072
Ca Ru Cl
1 1 2
Cartesian
0.0000 0.0000 0.0000 Ca
0.0000 0.0000 5.5036 Ru
1.6215 1.6215 1.6093 Cl
1.6215 1.6215 9.3980 Cl

---

# 6
PBE Ca4RuCl, optimized geometry; energy relative to the elements, uncorrected = 0.599 eV/atom; SG = F-43m
1.0
0.0000 4.5877 4.5877
4.5877 0.0000 4.5877
4.5877 4.5877 0.0000
Ca Ru Cl
4 1 1
Cartesian
3.4546 3.4546 3.4546 Ca
5.7208 5.7208 3.4546 Ca
5.7208 3.4546 5.7208 Ca
3.4546 5.7208 5.7208 Ca
6.8816 6.8816 6.8816 Ru
0.0000 0.0000 0.0000 Cl